TbDyMgPt: optimized geometry, PBE.

Unit cell a=7.205 b=7.205 c=7.205 alpha=90.00 beta=90.00 gamma=90.00
Space group F-43m (No. 216)
Symmetry-distinct sites (fractional):
Tb  0.000  0.000  0.000 x4
Dy  0.000  0.000  0.500 x4
Mg  0.250  0.250  0.750 x4
Pt  0.250  0.250  0.250 x4

formation enthalpy at 0 K = -592.3 meV per atom
uncorrected energy = -4.81 eV/atom